[1]
Here is a geometry-optimized Li2DyTh structure from Alexandria via LeMat-Bulk. Energies are from PBE-GGA.

The structure in CIF format:
```
data_Li2DyTh
_chemical_formula_sum 'Li2 Dy1 Th1'
_cell_length_a 3.677
_cell_length_b 3.677
_cell_length_c 7.381
_cell_angle_alpha 90.00
_cell_angle_beta 90.00
_cell_angle_gamma 90.00
_symmetry_space_group_name_H-M 'P 1'
_symmetry_Int_Tables_number 1
loop_
_symmetry_equiv_pos_as_xyz
'x,y,z'
loop_
_atom_site_label
_atom_site_type_symbol
_atom_site_fract_x
_atom_site_fract_y
_atom_site_fract_z
Li1 Li 0.000 0.000 0.245
Li2 Li 0.000 0.000 0.755
Dy1 Dy 0.500 0.500 0.000
Th1 Th 0.500 0.500 0.500
```

Values from the calculation:
Energy relative to the elements   86 kJ/mol of formula units
DOS at the Fermi energy   3.852 states/eV per cell
Energy above the most stable polymorph in this dataset   0.0 meV per atom
Symmetry   P4/mmm (123)

---

[2]
Here is a geometry-optimized LiDy2Th structure from Alexandria via LeMat-Bulk. Energies are from PBE-GGA.

The structure in CIF format:
```
data_LiDy2Th
_chemical_formula_sum 'Li1 Dy2 Th1'
_cell_length_a 3.630
_cell_length_b 3.630
_cell_length_c 8.671
_cell_angle_alpha 90.00
_cell_angle_beta 90.00
_cell_angle_gamma 90.00
_symmetry_space_group_name_H-M 'P 1'
_symmetry_Int_Tables_number 1
loop_
_symmetry_equiv_pos_as_xyz
'x,y,z'
loop_
_atom_site_label
_atom_site_type_symbol
_atom_site_fract_x
_atom_site_fract_y
_atom_site_fract_z
Li1 Li 0.000 0.000 0.000
Dy1 Dy 0.500 0.500 0.230
Dy2 Dy 0.500 0.500 0.770
Th1 Th 0.000 0.000 0.500
```

Values from the calculation:
Energy relative to the elements   21 kJ/mol of formula units
DOS at the Fermi energy   4.203 states/eV per cell
Energy above the most stable polymorph in this dataset   0.0 meV per atom
Symmetry   P4/mmm (123)

---

[3]
Here is a geometry-optimized LiDyTh2 structure from Alexandria via LeMat-Bulk. Energies are from PBE-GGA.

The structure in CIF format:
```
data_LiDyTh2
_chemical_formula_sum 'Li1 Dy1 Th2'
_cell_length_a 3.485
_cell_length_b 3.485
_cell_length_c 9.567
_cell_angle_alpha 90.00
_cell_angle_beta 90.00
_cell_angle_gamma 90.00
_symmetry_space_group_name_H-M 'P 1'
_symmetry_Int_Tables_number 1
loop_
_symmetry_equiv_pos_as_xyz
'x,y,z'
loop_
_atom_site_label
_atom_site_type_symbol
_atom_site_fract_x
_atom_site_fract_y
_atom_site_fract_z
Li1 Li 0.000 0.000 0.000
Dy1 Dy 0.000 0.000 0.500
Th1 Th 0.500 0.500 0.231
Th2 Th 0.500 0.500 0.769
```

Values from the calculation:
Energy relative to the elements   62 kJ/mol of formula units
DOS at the Fermi energy   3.637 states/eV per cell
Energy above the most stable polymorph in this dataset   16.7 meV per atom
Symmetry   P4/mmm (123)

---

[4]
Here is a geometry-optimized LiDy2Th structure from Alexandria via LeMat-Bulk. Energies are from PBE-GGA.

The structure in CIF format:
```
data_LiDy2Th
_chemical_formula_sum 'Li1 Dy2 Th1'
_cell_length_a 12.113
_cell_length_b 12.113
_cell_length_c 12.113
_cell_angle_alpha 16.67
_cell_angle_beta 16.67
_cell_angle_gamma 16.67
_symmetry_space_group_name_H-M 'P 1'
_symmetry_Int_Tables_number 1
loop_
_symmetry_equiv_pos_as_xyz
'x,y,z'
loop_
_atom_site_label
_atom_site_type_symbol
_atom_site_fract_x
_atom_site_fract_y
_atom_site_fract_z
Li1 Li 0.000 0.000 0.000
Dy1 Dy 0.090 0.090 0.090
Dy2 Dy 0.910 0.910 0.910
Th1 Th 0.500 0.500 0.500
```

Values from the calculation:
Energy relative to the elements   64 kJ/mol of formula units
DOS at the Fermi energy   4.001 states/eV per cell
Energy above the most stable polymorph in this dataset   112.9 meV per atom
Symmetry   R-3m (166)

---

[5]
Here is a geometry-optimized LiDyThW structure from Alexandria via LeMat-Bulk. Energies are from PBE-GGA.

The structure in CIF format:
```
data_LiDyThW
_chemical_formula_sum 'Li1 Dy1 Th1 W1'
_cell_length_a 5.035
_cell_length_b 5.035
_cell_length_c 5.035
_cell_angle_alpha 60.00
_cell_angle_beta 60.00
_cell_angle_gamma 60.00
_symmetry_space_group_name_H-M 'P 1'
_symmetry_Int_Tables_number 1
loop_
_symmetry_equiv_pos_as_xyz
'x,y,z'
loop_
_atom_site_label
_atom_site_type_symbol
_atom_site_fract_x
_atom_site_fract_y
_atom_site_fract_z
Li1 Li 0.000 0.000 0.000
Dy1 Dy 0.750 0.750 0.750
Th1 Th 0.250 0.250 0.250
W1 W 0.500 0.500 0.500
```

Values from the calculation:
Energy relative to the elements   89 kJ/mol of formula units
DOS at the Fermi energy   1.650 states/eV per cell
Symmetry   F-43m (216)

---

[6]
Here is a geometry-optimized LiDyThZn structure from Alexandria via LeMat-Bulk. Energies are from PBE-GGA.

The structure in CIF format:
```
data_LiDyThZn
_chemical_formula_sum 'Li1 Dy1 Th1 Zn1'
_cell_length_a 5.153
_cell_length_b 5.153
_cell_length_c 5.153
_cell_angle_alpha 60.00
_cell_angle_beta 60.00
_cell_angle_gamma 60.00
_symmetry_space_group_name_H-M 'P 1'
_symmetry_Int_Tables_number 1
loop_
_symmetry_equiv_pos_as_xyz
'x,y,z'
loop_
_atom_site_label
_atom_site_type_symbol
_atom_site_fract_x
_atom_site_fract_y
_atom_site_fract_z
Li1 Li 0.000 0.000 0.000
Dy1 Dy 0.750 0.750 0.750
Th1 Th 0.250 0.250 0.250
Zn1 Zn 0.500 0.500 0.500
```

Values from the calculation:
Energy relative to the elements   -9 kJ/mol of formula units
DOS at the Fermi energy   4.310 states/eV per cell
Symmetry   F-43m (216)

---

[7]
Here is a geometry-optimized LiDy2Ti structure from Alexandria via LeMat-Bulk. Energies are from PBE-GGA.

The structure in CIF format:
```
data_LiDy2Ti
_chemical_formula_sum 'Li1 Dy2 Ti1'
_cell_length_a 11.622
_cell_length_b 11.622
_cell_length_c 11.622
_cell_angle_alpha 15.91
_cell_angle_beta 15.91
_cell_angle_gamma 15.91
_symmetry_space_group_name_H-M 'P 1'
_symmetry_Int_Tables_number 1
loop_
_symmetry_equiv_pos_as_xyz
'x,y,z'
loop_
_atom_site_label
_atom_site_type_symbol
_atom_site_fract_x
_atom_site_fract_y
_atom_site_fract_z
Li1 Li 0.000 0.000 0.000
Dy1 Dy 0.415 0.415 0.415
Dy2 Dy 0.585 0.585 0.585
Ti1 Ti 0.500 0.500 0.500
```

Values from the calculation:
Energy relative to the elements   180 kJ/mol of formula units
DOS at the Fermi energy   5.149 states/eV per cell
Energy above the most stable polymorph in this dataset   317.3 meV per atom
Symmetry   R-3m (166)

---

[8]
Here is a geometry-optimized LiDy2Ti structure from Alexandria via LeMat-Bulk. Energies are from PBE-GGA.

The structure in CIF format:
```
data_LiDy2Ti
_chemical_formula_sum 'Li1 Dy2 Ti1'
_cell_length_a 3.426
_cell_length_b 3.426
_cell_length_c 8.500
_cell_angle_alpha 90.00
_cell_angle_beta 90.00
_cell_angle_gamma 90.00
_symmetry_space_group_name_H-M 'P 1'
_symmetry_Int_Tables_number 1
loop_
_symmetry_equiv_pos_as_xyz
'x,y,z'
loop_
_atom_site_label
_atom_site_type_symbol
_atom_site_fract_x
_atom_site_fract_y
_atom_site_fract_z
Li1 Li 0.000 0.000 0.000
Dy1 Dy 0.500 0.500 0.266
Dy2 Dy 0.500 0.500 0.734
Ti1 Ti 0.000 0.000 0.500
```

Values from the calculation:
Energy relative to the elements   57 kJ/mol of formula units
DOS at the Fermi energy   3.767 states/eV per cell
Energy above the most stable polymorph in this dataset   0.0 meV per atom
Symmetry   P4/mmm (123)